No. 1
A plane-wave DFT calculation with GGA-PBEsol was carried out for an optimized crystal structure of GaCuGe2F.

Unit cell a=4.4151 b=4.4151 c=4.4230 alpha=90.00 beta=90.00 gamma=90.00
With the nearest neighbours (Å) after each atom.
Space group P4/mmm (No. 123)
Unique sites:
Ga  0.0000  0.0000  0.0000  2 F 2.21
Cu  0.5000  0.5000  0.0000  4 Ga 3.12, 8 Ge 3.12
Ge  0.0000  0.5000  0.5000  2 F 2.21
F  0.0000  0.0000  0.5000  4 Ge 2.21, 2 Ga 2.21

Properties
ΔE_f (raw) = 114 meV per atom
Uncorrected energy = -3.782 eV/atom



No. 2
A plane-wave DFT calculation with GGA-PBEsol was carried out for an optimized crystal structure of Cs2RbCaCl.

Unit cell a=8.0927 b=8.0927 c=7.6924 alpha=90.00 beta=90.00 gamma=90.00
With the nearest neighbours (Å) after each atom.
Space group P4/mmm (No. 123)
Unique sites:
Cs  0.0000  0.5000  0.0000  2 Ca 4.05
Rb  0.0000  0.0000  0.5000  2 Ca 3.85
Ca  0.0000  0.0000  0.0000  2 Rb 3.85, 4 Cs 4.05
Cl  0.5000  0.5000  0.5000  8 Cs 5.58, 4 Rb 5.72

Properties
ΔE_f (raw) = 16 meV per atom
Uncorrected energy = -1.394 eV/atom



No. 3
A plane-wave DFT calculation with GGA-PBEsol was carried out for an optimized crystal structure of Tl5Rh.

Unit cell a=11.7154 b=3.2388 c=8.4720 alpha=90.00 beta=112.66 gamma=90.00
With the nearest neighbours (Å) after each atom.
Space group C2/m (No. 12)
Unique sites:
Tl  0.0000  0.0000  0.0000  12 Tl 3.24-3.59
Tl  0.1326  0.5000  0.3623  2 Rh 2.79
Tl  0.1728  0.5000  0.7853  2 Rh 2.97, 3 Tl 3.24-3.30
Rh  0.0000  0.0000  0.5000  8 Tl 2.79-2.97

Properties
Uncorrected energy = -3.454 eV/atom
Energy of formation = 95 meV per atom



No. 4
A plane-wave DFT calculation with GGA-PBEsol was carried out for an optimized crystal structure of FeIr2W.

Unit cell a=8.8828 b=2.7070 c=4.6538 alpha=90.00 beta=100.24 gamma=90.00
With the nearest neighbours (Å) after each atom.
Space group Cm (No. 8)
Unique sites:
Fe  0.0000  0.0000  0.0000  7 Ir 2.62-2.71, 2 Fe 2.71, 3 W 2.72
Ir  0.0040  0.5000  0.5069  3 W 2.64-2.69, 4 Fe 2.67-2.71, 5 Ir 2.71-2.75
Ir  0.2540  0.0000  0.7794  3 Fe 2.62-2.64, 4 W 2.65-2.74, 5 Ir 2.71-2.75
W  0.2516  0.5000  0.2671  7 Ir 2.64-2.74, 2 W 2.71, 3 Fe 2.72

Properties
Offset from the most stable computed form = 0.159 eV per atom
Uncorrected energy = -10.674 eV/atom
Energy of formation = -69 meV per atom



No. 5
A plane-wave DFT calculation with GGA-PBEsol was carried out for an optimized crystal structure of TlCuH2Pd.

Unit cell a=3.6538 b=3.6538 c=5.0984 alpha=90.00 beta=90.00 gamma=90.00
With the nearest neighbours (Å) after each atom.
Space group P4/mmm (No. 123)
Unique sites:
Tl  0.0000  0.0000  0.0000  4 Pd 2.58
Cu  0.5000  0.5000  0.5000  4 H 1.83
H  0.0000  0.5000  0.5000  2 Cu 1.83
Pd  0.5000  0.5000  0.0000  2 Cu 2.55, 4 Tl 2.58

Properties
Uncorrected energy = -3.538 eV/atom



No. 6
A plane-wave DFT calculation with GGA-PBEsol was carried out for an optimized crystal structure of YTl2P.

Unit cell a=3.9338 b=3.9338 c=24.0138 alpha=90.00 beta=90.00 gamma=120.00
With the nearest neighbours (Å) after each atom.
Space group R3m (No. 160, hexagonal axes)
Unique sites:
Y  0.0000  0.0000  0.0000  3 P 2.67
Tl  0.0000  0.0000  0.5327  3 P 2.91
Tl  0.0000  0.0000  0.7660  3 Y 3.29, 3 Tl 3.30
P  0.0000  0.0000  0.2750  3 Y 2.67, 3 Tl 2.91

Properties
Offset from the most stable computed form = 0.172 eV per atom
Uncorrected energy = -4.828 eV/atom
Energy of formation = -359 meV per atom



No. 7
A plane-wave DFT calculation with GGA-PBEsol was carried out for an optimized crystal structure of Li2NbI.

Unit cell a=7.6124 b=7.6124 c=5.3705 alpha=90.00 beta=90.00 gamma=90.00
With the nearest neighbours (Å) after each atom.
Space group I-42d (No. 122)
Unique sites:
Li  0.2236  0.7500  0.1250  2 I 2.64, 2 Li 2.72, 2 Nb 2.92
Nb  0.0000  0.0000  0.5000  2 I 2.69, 4 Li 2.92
I  0.0000  0.0000  0.0000  4 Li 2.64, 2 Nb 2.69

Properties
ΔE_f (raw) = 474 meV per atom
Uncorrected energy = -3.656 eV/atom



No. 8
A plane-wave DFT calculation with GGA-PBEsol was carried out for an optimized crystal structure of Zr2CuW.

Unit cell a=3.8903 b=4.0177 c=8.9204 alpha=90.00 beta=90.00 gamma=90.00
With the nearest neighbours (Å) after each atom.
Space group Cmm2 (No. 35)
Unique sites:
Zr  0.0000  0.0000  0.0000  4 Zr 2.80, 4 W 3.04-3.08
Zr  0.0000  0.5000  0.3111  4 Zr 2.80, 4 Cu 2.81-2.85
Cu  0.0000  0.0000  0.5383  4 W 2.64-2.68, 4 Cu 2.80, 4 Zr 2.81-2.85
W  0.0000  0.5000  0.7377  4 Cu 2.64-2.68, 4 W 2.80

Properties
Uncorrected energy = -8.880 eV/atom
Energy of formation = 200 meV per atom



No. 9
A plane-wave DFT calculation with GGA-PBEsol was carried out for an optimized crystal structure of ScOs2Au.

Unit cell a=2.8419 b=4.1196 c=5.4717 alpha=90.00 beta=90.00 gamma=90.00
With the nearest neighbours (Å) after each atom.
Space group Pmmm (No. 47)
Unique sites:
Sc  0.0000  0.0000  0.0000  2 Au 2.74, 8 Os 2.78, 2 Sc 2.84
Os  0.5000  0.5000  0.2225  1 Os 2.43
Au  0.0000  0.0000  0.5000  2 Sc 2.74, 2 Au 2.84, 8 Os 2.93

Properties
Offset from the most stable computed form = 0.064 eV per atom
Uncorrected energy = -8.500 eV/atom
Energy of formation = 240 meV per atom



No. 10
A plane-wave DFT calculation with GGA-PBEsol was carried out for an optimized crystal structure of NaCaTeN2.

Unit cell a=4.6640 b=4.6640 c=6.1099 alpha=90.00 beta=90.00 gamma=90.00
With the nearest neighbours (Å) after each atom.
Space group P4/mmm (No. 123)
Unique sites:
Na  0.0000  0.0000  0.0000  4 Te 3.30
Ca  0.5000  0.5000  0.5000  4 N 2.33
Te  0.5000  0.5000  0.0000  2 Ca 3.05, 4 Na 3.30
N  0.0000  0.5000  0.5000  2 Ca 2.33

Properties
ΔE_f (raw) = 905 meV per atom
Uncorrected energy = -3.918 eV/atom



No. 11
A plane-wave DFT calculation with GGA-PBEsol was carried out for an optimized crystal structure of RbAl2Ga2.

Unit cell a=4.3669 b=4.3669 c=11.5256 alpha=90.00 beta=90.00 gamma=90.00
With the nearest neighbours (Å) after each atom.
Space group I4/mmm (No. 139)
Unique sites:
Rb  0.0000  0.0000  0.0000  8 Ga 3.36, 8 Al 3.62
Al  0.0000  0.5000  0.2500  4 Ga 2.68
Ga  0.0000  0.0000  0.3847  1 Ga 2.66, 4 Al 2.68

Properties
Uncorrected energy = -3.226 eV/atom
Energy of formation = -48 meV per atom



No. 12
A plane-wave DFT calculation with GGA-PBEsol was carried out for an optimized crystal structure of CaTa2As.

Unit cell a=3.9930 b=3.9930 c=9.5726 alpha=90.00 beta=90.00 gamma=90.00
With the nearest neighbours (Å) after each atom.
Space group I4/mmm (No. 139)
Unique sites:
Ca  0.0000  0.0000  0.0000  4 As 2.82, 8 Ta 3.12
Ta  0.0000  0.5000  0.2500  4 Ta 2.82, 4 Ca 3.12, 4 As 3.12
As  0.0000  0.0000  0.5000  4 Ca 2.82, 8 Ta 3.12

Properties
Uncorrected energy = -7.802 eV/atom
Energy of formation = 284 meV per atom